! PBE Th6Ge2OsSe3, relaxed; values from VASP
! calculated density: 9.9 Mg/m³
! space-group type: C2/m (12)
! formation energy from raw total energies: -1136.0 meV per atom
! total magnetic moment: 0.00 μB/atom
! density of states at the Fermi level: 7.86 states/eV/f.u.
&SYSTEM
  ibrav = 0, nat = 12, ntyp = 4
/
ATOMIC_SPECIES
Th 232.04 Th.upf
Ge 72.64 Ge.upf
Os 190.23 Os.upf
Se 78.96 Se.upf
ATOMIC_POSITIONS angstrom
Th -5.9278 5.7702 3.4809
Th -4.7567 3.1010 0.2317
Th -0.8866 3.1223 -1.4345
Th -1.7953 -0.0954 0.7592
Th -5.0191 8.9879 1.2872
Th -2.0577 5.7915 1.8148
Ge -4.8002 6.0434 0.7214
Ge -2.0142 2.8491 1.3250
Os -0.8248 0.3060 -1.9119
Se -4.7969 0.0780 -0.2349
Se -0.8582 6.1676 -0.9592
Se -5.9562 2.7249 3.0057
CELL_PARAMETERS angstrom
-1.6496 0.6121 -3.8238
-7.9441 -0.4561 3.3541
2.7793 8.7365 2.5162